Computed, not measured: RbGa2TcF at its PBEsol-relaxed geometry at the SCAN level of DFT.

Cell: 4.079 5.152 5.152 Å, 90.00 90.00 90.00°
Each line ends with the local moment (μB).
Positions (direct):
Ga1 0.000 0.000 0.500  -0.12
Ga2 0.000 0.500 0.000  -0.12
Rb1 0.500 0.500 0.500  -0.05
Tc1 0.500 0.000 0.000  2.42
F1 0.000 0.000 0.000  0.04

The calculation puts the magnetic moment at 1.881 Bohr magnetons per cell. The calculation puts the formation energy from raw total energies at 0.36 eV per atom. The space group is P4/mmm.